P2SeO: relaxed, GGA-PBE.

abc: 4.4405 4.4405 13.4032
angles: 90.00 90.00 90.00
Closest atoms and distances in Å follow each position.
Space group I-42d (No. 122)
One atom of each set of equivalent atoms:
P 0.1139 0.2500 0.1250 [8 per cell]  2 O 2.07
Se 0.0000 0.0000 0.5000 [4 per cell]  4 P 2.64
O 0.0000 0.0000 0.0000 [4 per cell]  4 P 2.07

Total energy, eV per atom: -4.644
Raw formation energy, eV/atom: 0.172
Spin magnetization, μB per formula unit: 0.00